(1)
! Zn2OsCl, relaxed, DFT GGA-PBE; values from VASP
! * density: 8.92 g/cm³
! * Fermi-level density of states: 2.78 states/eV per cell
! * electronic total energy: -3.81 eV/atom
! * energy above the lowest structure with this stoichiometry: 0.00 kcal/mol of atoms
! * formation energy without anion corrections: 0.093 eV/atom
&SYSTEM
  ibrav = 0, nat = 4, ntyp = 3
/
ATOMIC_SPECIES
Zn 65.41 Zn.upf
Cl 35.45 Cl.upf
Os 190.23 Os.upf
ATOMIC_POSITIONS crystal
Zn 0.000 0.250 0.969
Zn 0.000 0.250 0.531
Cl 0.500 0.250 0.250
Os 0.500 0.750 0.750
CELL_PARAMETERS angstrom
-1.469 2.150 -1.348
-1.533 -2.060 -1.616
-5.239 -0.257 5.301

(2)
! Zn2OsCl8, relaxed, DFT GGA-PBE; values from VASP
! * density: 3.14 g/cm³
! * Fermi-level density of states: 1.77 states/eV per cell
! * electronic total energy: -3.33 eV/atom
! * formation energy without anion corrections: -0.733 eV/atom
&SYSTEM
  ibrav = 0, nat = 11, ntyp = 3
/
ATOMIC_SPECIES
Cl 35.45 Cl.upf
Zn 65.41 Zn.upf
Os 190.23 Os.upf
ATOMIC_POSITIONS crystal
Cl 0.241 0.838 0.287
Cl 0.189 0.862 0.862
Cl 0.759 0.713 0.162
Cl 0.624 0.697 0.697
Cl 0.376 0.303 0.303
Cl 0.811 0.138 0.138
Cl 0.759 0.162 0.713
Cl 0.241 0.287 0.838
Zn 0.580 0.843 0.843
Zn 0.420 0.157 0.157
Os 0.000 0.000 0.000
CELL_PARAMETERS angstrom
-3.509 2.635 4.271
6.309 -0.113 5.158
5.715 5.709 1.078

(3)
! Zn2OsCl, relaxed, DFT GGA-PBE; values from VASP
! * density: 8.84 g/cm³
! * Fermi-level density of states: 3.40 states/eV per cell
! * electronic total energy: -3.34 eV/atom
! * energy above the lowest structure with this stoichiometry: 10.99 kcal/mol of atoms
! * formation energy without anion corrections: 0.569 eV/atom
&SYSTEM
  ibrav = 0, nat = 4, ntyp = 3
/
ATOMIC_SPECIES
Zn 65.41 Zn.upf
Os 190.23 Os.upf
Cl 35.45 Cl.upf
ATOMIC_POSITIONS crystal
Zn 0.000 0.000 0.976
Zn 0.500 0.500 0.210
Os 0.500 0.500 0.765
Cl 0.000 0.000 0.550
CELL_PARAMETERS angstrom
2.890 0.000 0.000
0.000 2.890 0.000
0.000 0.000 8.015

(4)
! ZnOsCl, relaxed, DFT GGA-PBE; values from VASP
! * density: 10.26 g/cm³
! * Fermi-level density of states: 1.95 states/eV per cell
! * electronic total energy: -4.22 eV/atom
! * energy above the lowest structure with this stoichiometry: 0.00 kcal/mol of atoms
! * formation energy without anion corrections: 0.562 eV/atom
&SYSTEM
  ibrav = 0, nat = 3, ntyp = 3
/
ATOMIC_SPECIES
Cl 35.45 Cl.upf
Zn 65.41 Zn.upf
Os 190.23 Os.upf
ATOMIC_POSITIONS crystal
Cl 0.000 0.000 0.987
Zn 0.333 0.667 0.666
Os 0.667 0.333 0.347
CELL_PARAMETERS angstrom
-2.130 1.461 1.464
-0.399 -0.746 -2.846
-2.478 -5.371 1.755

(5)
! ZnOs2Cl, relaxed, DFT GGA-PBE; values from VASP
! * density: 13.07 g/cm³
! * Fermi-level density of states: 6.45 states/eV per cell
! * electronic total energy: -5.29 eV/atom
! * energy above the lowest structure with this stoichiometry: 21.32 kcal/mol of atoms
! * formation energy without anion corrections: 1.101 eV/atom
&SYSTEM
  ibrav = 0, nat = 4, ntyp = 3
/
ATOMIC_SPECIES
Os 190.23 Os.upf
Cl 35.45 Cl.upf
Zn 65.41 Zn.upf
ATOMIC_POSITIONS crystal
Os 0.250 0.250 0.250
Os 0.000 0.000 0.000
Cl 0.500 0.500 0.500
Zn 0.750 0.750 0.750
CELL_PARAMETERS angstrom
4.422 0.000 0.000
2.211 3.830 0.000
2.211 1.277 3.611

(6)
! Zn2OsCl, relaxed, DFT GGA-PBE; values from VASP
! * density: 9.61 g/cm³
! * Fermi-level density of states: 1.51 states/eV per cell
! * electronic total energy: -3.56 eV/atom
! * energy above the lowest structure with this stoichiometry: 5.77 kcal/mol of atoms
! * formation energy without anion corrections: 0.343 eV/atom
&SYSTEM
  ibrav = 0, nat = 4, ntyp = 3
/
ATOMIC_SPECIES
Cl 35.45 Cl.upf
Os 190.23 Os.upf
Zn 65.41 Zn.upf
ATOMIC_POSITIONS crystal
Cl 0.500 0.000 0.500
Os 0.000 0.500 0.500
Zn 0.000 0.000 0.000
Zn 0.500 0.500 0.000
CELL_PARAMETERS angstrom
4.733 0.046 -0.001
-1.200 4.578 -0.001
0.000 0.001 2.837

Q: Which value of formation energy without anion corrections does entry 4 give?
A: 0.562 eV/atom